# Hf3AlRe2 (GGA-PBE, relaxed)
# Energy   -10.146 eV per atom
data_Hf3AlRe2
_cell_length_a 3.340
_cell_length_b 3.340
_cell_length_c 9.679
_cell_angle_alpha 90.00
_cell_angle_beta 90.00
_cell_angle_gamma 90.00
_symmetry_space_group_name_H-M 'P 4/m m m'
_symmetry_Int_Tables_number 123
_symmetry_space_group_name_Hall '-P 4 2'
loop_
_atom_site_label
_atom_site_fract_x
_atom_site_fract_y
_atom_site_fract_z
_atom_site_occupancy
Hf1 0.000 0.000 0.000 1
Hf2 0.000 0.000 0.325 1
Al1 0.500 0.500 0.500 1
Re1 0.500 0.500 0.172 1

***

# HfAlTlS3 (GGA-PBE, relaxed)
# Energy   -5.617 eV per atom
data_HfAlTlS3
_cell_length_a 3.505
_cell_length_b 16.195
_cell_length_c 9.925
_cell_angle_alpha 90.00
_cell_angle_beta 90.00
_cell_angle_gamma 90.00
_symmetry_space_group_name_H-M 'C m c m'
_symmetry_Int_Tables_number 63
_symmetry_space_group_name_Hall '-C 2c 2'
loop_
_atom_site_label
_atom_site_fract_x
_atom_site_fract_y
_atom_site_fract_z
_atom_site_occupancy
Hf1 0.000 0.000 0.000 1
Al1 0.000 0.452 0.250 1
Tl1 0.000 0.263 0.750 1
S1 0.000 0.047 0.250 1
S2 0.000 0.384 0.055 1